Compound: K2SrPb
Source: Alexandria via LeMat-Bulk
Functional: PBE
Structure: optimized geometry

Values from the calculation:
SG	P4/mmm, No. 123
E_form	0.0684	eV/atom
DOS(E_F)	3.69	states/eV per cell

a = 4.086 Å, b = 4.086 Å, c = 11.740 Å
α = 90.00°, β = 90.00°, γ = 90.00°
Sites, in units of the cell vectors:
K (0.000, 0.000, 0.197)
K (0.000, 0.000, 0.803)
Sr (0.500, 0.500, 0.500)
Pb (0.500, 0.500, 0.000)

=====

Compound: K2SrPb
Source: Alexandria via LeMat-Bulk
Functional: PBE
Structure: optimized geometry

Values from the calculation:
SG	Pmmm, No. 47
E_form	-0.0836	eV/atom
DOS(E_F)	2.12	states/eV per cell

a = 4.572 Å, b = 5.737 Å, c = 6.597 Å
α = 90.00°, β = 90.00°, γ = 90.00°
Sites, in units of the cell vectors:
K (0.000, 0.000, 0.000)
K (0.500, 0.500, 0.000)
Sr (0.000, 0.500, 0.500)
Pb (0.500, 0.000, 0.500)

=====

Compound: KSrPb6
Source: Alexandria via LeMat-Bulk
Functional: PBE
Structure: optimized geometry

Values from the calculation:
SG	Amm2, No. 38
E_form	-0.1845	eV/atom
DOS(E_F)	6.37	states/eV per cell

a = 5.945 Å, b = 7.118 Å, c = 7.118 Å
α = 60.89°, β = 90.00°, γ = 90.00°
Sites, in units of the cell vectors:
K (0.000, 0.000, 0.000)
Sr (0.500, 0.677, 0.677)
Pb (0.000, 0.035, 0.484)
Pb (0.000, 0.484, 0.035)
Pb (0.000, 0.495, 0.495)
Pb (0.500, 0.180, 0.180)
Pb (0.500, 0.190, 0.649)
Pb (0.500, 0.649, 0.190)